Density functional theory data (PBE) for Ac2ScZnS6 after structural relaxation.

Geometry as POSCAR:
```
Ac2ScZnS6
1.0
6.458 0.000 -0.085
0.000 7.466 0.000
-0.052 0.000 9.639
S Zn Ac Sc
12 2 4 2
Direct
0.909 0.517 0.243
0.176 0.185 0.046
0.676 0.315 0.546
0.824 0.815 0.954
0.676 0.309 0.954
0.824 0.809 0.546
0.176 0.191 0.454
0.409 0.983 0.743
0.324 0.685 0.454
0.591 0.017 0.257
0.091 0.483 0.757
0.324 0.691 0.046
0.000 0.500 0.000
0.500 0.000 0.500
0.460 0.401 0.250
0.540 0.599 0.750
0.960 0.099 0.750
0.040 0.901 0.250
0.500 0.000 0.000
0.000 0.500 0.500
```

Summary:
The symmetry is P2_1/c, No. 14. The calculation puts the formation energy from raw total energies at -1.6208 eV/atom.



Density functional theory data (PBE) for Ac2SeS4 after structural relaxation.

Geometry as POSCAR:
```
Ac2SeS4
1.0
4.114 0.000 -0.948
-0.219 4.108 -0.948
0.443 0.468 11.321
Ac S Se
2 4 1
Direct
0.350 0.350 0.701
0.650 0.650 0.299
0.885 0.885 0.771
0.250 0.750 0.500
0.115 0.115 0.229
0.750 0.250 0.500
0.000 0.000 0.000
```

Summary:
The symmetry is I4/mmm, No. 139. The calculation puts the formation energy from raw total energies at -1.3049 eV/atom.



Density functional theory data (PBE) for Ac4Se3S after structural relaxation.

Geometry as POSCAR:
```
Ac4Se3S
1.0
6.265 0.000 0.000
0.000 6.265 0.000
0.000 0.000 6.265
Ac Se S
4 3 1
Direct
0.000 0.000 0.500
0.500 0.000 0.000
0.000 0.500 0.000
0.500 0.500 0.500
0.500 0.500 0.000
0.000 0.500 0.500
0.500 0.000 0.500
0.000 0.000 0.000
```

Summary:
The symmetry is Pm-3m, No. 221. The calculation puts the formation energy from raw total energies at -1.8805 eV/atom. The offset from the most stable computed form is 0.020 eV/atom.



Density functional theory data (PBE) for Ac5SeS4 after structural relaxation.

Geometry as POSCAR:
```
Ac5SeS4
1.0
4.294 0.000 -0.605
-0.085 4.294 -0.605
0.019 0.020 15.676
Ac S Se
5 4 1
Direct
0.300 0.300 0.600
0.700 0.700 0.400
0.898 0.898 0.795
0.500 0.500 0.000
0.102 0.102 0.205
0.400 0.400 0.799
0.799 0.799 0.598
0.600 0.600 0.201
0.201 0.201 0.402
0.000 0.000 0.000
```

Summary:
The symmetry is I4/mmm, No. 139. The calculation puts the formation energy from raw total energies at -1.9683 eV/atom.



Density functional theory data (PBE) for Ac3Se2S after structural relaxation.

Geometry as POSCAR:
```
Ac3Se2S
1.0
-2.806 1.872 -5.219
-7.499 -4.458 2.433
1.044 8.632 2.535
Ac Se S
6 4 2
Direct
0.993 0.183 0.183
0.493 0.496 0.214
0.493 0.214 0.496
0.993 0.504 0.786
0.993 0.786 0.504
0.493 0.817 0.817
0.993 0.132 0.496
0.993 0.496 0.132
0.493 0.868 0.504
0.493 0.504 0.868
0.993 0.858 0.858
0.493 0.142 0.142
```

Summary:
The symmetry is Cmcm, No. 63. The calculation puts the formation energy from raw total energies at -1.6745 eV/atom. The offset from the most stable computed form is 0.240 eV/atom.



Density functional theory data (PBE) for AcSeS4 after structural relaxation.

Geometry as POSCAR:
```
AcSeS4
1.0
5.429 0.840 0.887
2.598 4.841 0.887
0.259 0.183 11.818
S Se Ac
8 2 2
Direct
0.309 0.784 0.066
0.784 0.309 0.566
0.815 0.687 0.254
0.216 0.691 0.434
0.313 0.185 0.246
0.687 0.815 0.754
0.185 0.313 0.746
0.691 0.216 0.934
0.940 0.060 0.750
0.060 0.940 0.250
0.500 0.000 0.500
0.000 0.500 0.000
```

Summary:
The symmetry is C2/c, No. 15. The calculation puts the formation energy from raw total energies at -0.6602 eV/atom.



Which of these has the lowest formation energy from raw total energies?
Ac5SeS4